Record 1
Here is a geometry-optimized Ta2Mn2Al structure from Alexandria. Energies are from GGA-PBE.

Cell: 6.772 6.772 3.294 Å, 90.00 90.00 90.00°
Fractional coordinates of all 10 atoms:
Mn1 0.387 0.887 0.000
Mn2 0.887 0.613 0.000
Mn3 0.613 0.113 0.000
Mn4 0.113 0.387 0.000
Al1 0.000 0.000 0.000
Al2 0.500 0.500 0.000
Ta1 0.188 0.688 0.500
Ta2 0.688 0.812 0.500
Ta3 0.812 0.312 0.500
Ta4 0.312 0.188 0.500

The space group is P4/mbm. The density of states at the Fermi level is 8.91 states/eV/cell. Its magnetic moment is 3.656 μB per cell. As for the volume: 151.1 Å³/cell. The calculation puts the total DFT energy (no corrections) at -91.6 eV per cell. The density comes out at 10.97 Mg/m³.

=====

Record 2
Here is a geometry-optimized TiRu3 structure from Alexandria. Energies are from GGA-PBE.

Cell: 3.856 3.856 3.856 Å, 90.00 90.00 90.00°
Fractional coordinates of all 4 atoms:
Ru1 0.000 0.500 0.500
Ru2 0.500 0.000 0.500
Ru3 0.500 0.500 0.000
Ti1 0.000 0.000 0.000

The space group is Pm-3m. The density of states at the Fermi level is 4.77 states/eV/cell. Its magnetic moment is 0.000 μB per cell. As for the volume: 57.3 Å³/cell. The calculation puts the total DFT energy (no corrections) at -36.5 eV per cell. The density comes out at 10.17 Mg/m³.

=====

Record 3
Here is a geometry-optimized TaSe5 structure from Alexandria. Energies are from GGA-PBE.

Cell: 5.221 5.221 5.017 Å, 90.00 90.00 120.00°
Fractional coordinates of all 6 atoms:
Ta1 0.000 0.000 0.500
Se1 0.714 0.000 0.000
Se2 0.286 0.286 0.000
Se3 0.000 0.714 0.000
Se4 0.667 0.333 0.500
Se5 0.333 0.667 0.500

The space group is P-62m. The density of states at the Fermi level is 5.00 states/eV/cell. Its magnetic moment is 0.000 μB per cell. As for the volume: 118.4 Å³/cell. The calculation puts the total DFT energy (no corrections) at -27.6 eV per cell. For the energy relative to the elements, uncorrected, the calculation gives 273 meV/atom. The density comes out at 8.07 Mg/m³.

=====

Record 4
Here is a geometry-optimized VCo2Sn structure from Alexandria. Energies are from GGA-PBE.

Cell: 3.053 3.053 5.858 Å, 90.00 90.00 90.00°
Fractional coordinates of all 4 atoms:
Co1 0.000 0.000 0.787
Co2 0.000 0.000 0.213
Sn1 0.500 0.500 0.500
V1 0.500 0.500 0.000

The space group is P4/mmm. The density of states at the Fermi level is 5.59 states/eV/cell. Its magnetic moment is 0.216 μB per cell. As for the volume: 54.6 Å³/cell. The calculation puts the total DFT energy (no corrections) at -27.4 eV per cell. The density comes out at 8.74 Mg/m³.

=====

Record 5
Here is a geometry-optimized YInSn2 structure from Alexandria. Energies are from GGA-PBE.

Cell: 4.995 4.995 8.424 Å, 72.75 72.75 60.00°
Fractional coordinates of all 4 atoms:
Y1 0.500 0.500 0.500
Sn1 0.119 0.119 0.642
Sn2 0.881 0.881 0.358
In1 0.000 0.000 0.000

The space group is R-3m. The density of states at the Fermi level is 3.76 states/eV/cell. Its magnetic moment is 0.000 μB per cell. As for the volume: 171.0 Å³/cell. The calculation puts the total DFT energy (no corrections) at -16.3 eV per cell. The density comes out at 4.28 Mg/m³.

=====

Record 6
Here is a geometry-optimized TbSbTe structure from Alexandria. Energies are from GGA-PBE.

Cell: 4.028 4.028 5.818 Å, 110.25 110.25 90.00°
Fractional coordinates of all 3 atoms:
Sb1 0.322 0.322 0.645
Te1 0.014 0.014 0.029
Tb1 0.663 0.663 0.326

The space group is I4mm. The density of states at the Fermi level is 2.04 states/eV/cell. Its magnetic moment is 0.000 μB per cell. As for the volume: 82.3 Å³/cell. The calculation puts the total DFT energy (no corrections) at -14.3 eV per cell. For the energy relative to the elements, uncorrected, the calculation gives -799 meV/atom. The density comes out at 8.24 Mg/m³.